Record 1
# NaCd2Hg2

A geometry-optimized NaCd2Hg2 structure (PBEsol, the Alexandria database).

POSCAR file:
```
NaCd2Hg2
1.0
4.303 0.000 0.000
0.000 4.303 0.000
0.000 0.000 13.499
Na Cd Hg
2 4 4
Direct
0.000 0.000 0.000
0.500 0.500 0.500
0.000 0.500 0.250
0.000 0.500 0.750
0.500 0.000 0.250
0.500 0.000 0.750
0.000 0.000 0.398
0.000 0.000 0.602
0.500 0.500 0.102
0.500 0.500 0.898
```

Output
ΔE to the lowest computed polymorph: 0.0 kJ per mole of atoms
Mass density: 8.62 g/cm³
DFT formation energy: -103 meV/atom
Raw total energy: -1.09 eV/atom
Space group: I4/mmm, No. 139

Record 2
# Na2CdHg2

A geometry-optimized Na2CdHg2 structure (PBEsol, the Alexandria database).

POSCAR file:
```
Na2CdHg2
1.0
7.576 0.000 0.000
0.000 7.576 0.000
0.000 0.000 4.364
Na Cd Hg
4 2 4
Direct
0.168 0.332 0.000
0.332 0.832 0.000
0.668 0.168 0.000
0.832 0.668 0.000
0.000 0.000 0.500
0.500 0.500 0.500
0.136 0.636 0.500
0.364 0.136 0.500
0.636 0.864 0.500
0.864 0.364 0.500
```

Output
Mass density: 7.42 g/cm³
DFT formation energy: -174 meV/atom
Raw total energy: -1.20 eV/atom
Space group: P4/mbm, No. 127

Record 3
# NbCd3Hg

A geometry-optimized NbCd3Hg structure (PBEsol, the Alexandria database).

POSCAR file:
```
NbCd3Hg
1.0
5.517 0.000 0.000
0.000 5.517 0.000
0.000 0.000 5.517
Nb Cd Hg
1 3 1
Direct
0.000 0.000 0.000
0.000 0.000 0.500
0.000 0.500 0.000
0.500 0.000 0.000
0.500 0.500 0.500
```

Output
Mass density: 6.24 g/cm³
DFT formation energy: 1068 meV/atom
Raw total energy: -1.93 eV/atom
Space group: Pm-3m, No. 221

Record 4
# NdCdHg2

A geometry-optimized NdCdHg2 structure (PBEsol, the Alexandria database).

POSCAR file:
```
NdCdHg2
1.0
7.183 0.000 0.000
0.000 7.183 0.000
0.000 0.000 7.183
Nd Cd Hg
4 4 8
Direct
0.000 0.000 0.000
0.000 0.500 0.500
0.500 0.000 0.500
0.500 0.500 0.000
0.000 0.000 0.500
0.000 0.500 0.000
0.500 0.000 0.000
0.500 0.500 0.500
0.250 0.250 0.250
0.250 0.250 0.750
0.250 0.750 0.250
0.250 0.750 0.750
0.750 0.250 0.250
0.750 0.250 0.750
0.750 0.750 0.250
0.750 0.750 0.750
```

Output
Mass density: 11.79 g/cm³
DFT formation energy: -497 meV/atom
Raw total energy: -2.37 eV/atom
Space group: Fm-3m, No. 225